# 1
Compound: Li2Cd2InGaIr2
Source: OQMD
Functional: PBE-GGA
Structure: relaxed

Calculated values
**Final energy**: -3.91 eV per atom

The structure in extended XYZ format:
```
8
Lattice="4.5089 0.0000 0.0000 0.0000 4.5089 0.0000 0.0000 0.0000 6.4118" Properties=species:S:1:pos:R:3 pbc="T T T"
Li 0.0000 2.2544 1.5051
Li 2.2544 0.0000 4.9066
Cd 0.0000 0.0000 0.0000
Cd 2.2544 2.2544 3.2059
In 0.0000 0.0000 3.2059
Ga 2.2544 2.2544 0.0000
Ir 0.0000 2.2544 4.9065
Ir 2.2544 0.0000 1.5053
```

---

# 2
Compound: Li4CdInGa2
Source: OQMD
Functional: PBE-GGA
Structure: relaxed

Calculated values
**Final energy**: -2.47 eV per atom

The structure in extended XYZ format:
```
8
Lattice="4.5587 0.0000 0.0000 0.0000 4.5587 0.0000 0.0000 0.0000 6.4472" Properties=species:S:1:pos:R:3 pbc="T T T"
Li 0.0000 0.0000 0.0000
Li 0.0000 2.2794 4.7951
Li 2.2794 0.0000 1.6521
Li 2.2794 2.2794 3.2236
Cd 0.0000 0.0000 3.2236
In 2.2794 2.2794 0.0000
Ga 0.0000 2.2794 1.6494
Ga 2.2794 0.0000 4.7979
```

---

# 3
Compound: LiCdInGa
Source: OQMD
Functional: PBE-GGA
Structure: relaxed

Calculated values
**Final energy**: -2.24 eV per atom

The structure in extended XYZ format:
```
16
Lattice="6.9546 0.0000 0.0000 0.0000 6.9546 0.0000 0.0000 0.0000 6.9546" Properties=species:S:1:pos:R:3 pbc="T T T"
Li 0.0000 0.0000 0.0000
Li 0.0000 3.4773 3.4773
Li 3.4773 0.0000 3.4773
Li 3.4773 3.4773 0.0000
Cd 1.7386 1.7386 1.7386
Cd 1.7386 5.2159 5.2159
Cd 5.2159 1.7386 5.2159
Cd 5.2159 5.2159 1.7386
In 0.0000 0.0000 3.4773
In 0.0000 3.4773 0.0000
In 3.4773 0.0000 0.0000
In 3.4773 3.4773 3.4773
Ga 1.7386 1.7386 5.2159
Ga 1.7386 5.2159 1.7386
Ga 5.2159 1.7386 1.7386
Ga 5.2159 5.2159 5.2159
```

---

Question: The highest final energy belongs to which entry?
Answer: LiCdInGa

---

Question: The highest final energy belongs to which entry?
Answer: LiCdInGa

---

Question: Which value of final energy does entry 1 give?
Answer: -3.91 eV per atom

---

Question: Among the records above, which one has the lowest final energy?
Answer: Li2Cd2InGaIr2